Computed, not measured: crystalline GdTh3 at its relaxed geometry at the PBE level of DFT.

Unit cell a=5.6842 b=5.6842 c=5.6842 alpha=60.00 beta=60.00 gamma=60.00
Sites, in units of the cell vectors:
Gd 0.0000 0.0000 0.0000
Th 0.2500 0.2500 0.2500
Th 0.5000 0.5000 0.5000
Th 0.7500 0.7500 0.7500

Mass density   10.9 g cm⁻³
Calculated volume   130 Å³ per cell
Fermi-level density of states   6.63 states/eV per cell
Distance to the lowest polymorph of the same formula   131 meV per atom
Formation enthalpy at 0 K   0.176 eV/atom